i) Compound: K2RbNaAs
Source: Alexandria via LeMat-Bulk
Functional: PBE
Structure: relaxed

The value obtained for the volume is 57.7 A^3/atom. For the density, the calculation gives 1.51 g/cm³. The magnetization is 1.1 μB per formula unit. As for the density of states at the Fermi level: 4.010 states/eV/cell.

It has space group P4/mmm (No. 123), with a = 6.531 Å, b = 6.531 Å, c = 6.766 Å, α = 90.00°, β = 90.00° and γ = 90.00°. The distinct sites, in fractional coordinates, are K at (0.000, 0.500, 0.000), Rb at (0.000, 0.000, 0.500), Na at (0.500, 0.500, 0.500) and As at (0.000, 0.000, 0.000).

ii) Compound: K2RbNaAs
Source: Alexandria via LeMat-Bulk
Functional: PBE
Structure: relaxed

The value obtained for the volume is 50.7 A^3/atom. For the density, the calculation gives 1.71 g/cm³. The magnetization is 0.0 μB per formula unit. As for the density of states at the Fermi level: 3.126 states/eV/cell.

It has space group P4/mmm (No. 123), with a = 6.626 Å, b = 6.626 Å, c = 5.770 Å, α = 90.00°, β = 90.00° and γ = 90.00°. The distinct sites, in fractional coordinates, are K at (0.000, 0.500, 0.000), Rb at (0.000, 0.000, 0.500), Na at (0.500, 0.500, 0.500) and As at (0.500, 0.500, 0.000).

Each structure's energy above the most stable one, in meV per atom: i) 94; ii) 0.

i) Compound: KNaAs2Se
Source: Alexandria via LeMat-Bulk
Functional: PBE
Structure: relaxed

The value obtained for the volume is 28.9 A^3/atom. For the density, the calculation gives 3.34 g/cm³. The magnetization is 0.0 μB per formula unit. As for the density of states at the Fermi level: 3.891 states/eV/cell.

It has space group P4/mmm (No. 123), with a = 5.183 Å, b = 5.183 Å, c = 5.378 Å, α = 90.00°, β = 90.00° and γ = 90.00°. The distinct sites, in fractional coordinates, are K at (0.000, 0.000, 0.000), Na at (0.500, 0.500, 0.500), As at (0.000, 0.500, 0.500) and Se at (0.500, 0.500, 0.000).

ii) Compound: KNaAs2Se
Source: Alexandria via LeMat-Bulk
Functional: PBE
Structure: relaxed

The value obtained for the volume is 36.8 A^3/atom. For the density, the calculation gives 2.62 g/cm³. The magnetization is 1.3 μB per formula unit. As for the density of states at the Fermi level: 5.014 states/eV/cell.

It has space group P4/mmm (No. 123), with a = 5.650 Å, b = 5.650 Å, c = 5.771 Å, α = 90.00°, β = 90.00° and γ = 90.00°. The distinct sites, in fractional coordinates, are K at (0.000, 0.000, 0.000), Na at (0.500, 0.500, 0.500), As at (0.000, 0.500, 0.000) and Se at (0.000, 0.000, 0.500).

Each structure's energy above the most stable one, in meV per atom: i) 0; ii) 503.

i) Compound: KNaAsSe2
Source: Alexandria via LeMat-Bulk
Functional: PBE
Structure: relaxed

The value obtained for the volume is 41.2 A^3/atom. For the density, the calculation gives 2.38 g/cm³. The magnetization is 2.9 μB per formula unit. As for the density of states at the Fermi level: 7.036 states/eV/cell.

It has space group P4/mmm (No. 123), with a = 5.898 Å, b = 5.898 Å, c = 5.923 Å, α = 90.00°, β = 90.00° and γ = 90.00°. The distinct sites, in fractional coordinates, are K at (0.000, 0.000, 0.000), Na at (0.500, 0.500, 0.500), As at (0.000, 0.000, 0.500) and Se at (0.000, 0.500, 0.000).

ii) Compound: KNaAsSe2
Source: Alexandria via LeMat-Bulk
Functional: PBE
Structure: relaxed

The value obtained for the volume is 29.5 A^3/atom. For the density, the calculation gives 3.32 g/cm³. The magnetization is 0.0 μB per formula unit. As for the density of states at the Fermi level: 6.118 states/eV/cell.

It has space group P4/mmm (No. 123), with a = 5.358 Å, b = 5.358 Å, c = 5.143 Å, α = 90.00°, β = 90.00° and γ = 90.00°. The distinct sites, in fractional coordinates, are K at (0.000, 0.000, 0.000), Na at (0.500, 0.500, 0.500), As at (0.500, 0.500, 0.000) and Se at (0.000, 0.500, 0.500).

Each structure's energy above the most stable one, in meV per atom: i) 433; ii) 0.

i) Compound: KNbAs3
Source: Alexandria via LeMat-Bulk
Functional: PBE
Structure: relaxed

The value obtained for the volume is 26.2 A^3/atom. For the density, the calculation gives 4.52 g/cm³. The magnetization is 0.0 μB per formula unit. As for the density of states at the Fermi level: 12.984 states/eV/cell.

It has space group Pm-3m (No. 221), with a = 5.081 Å, b = 5.081 Å, c = 5.081 Å, α = 90.00°, β = 90.00° and γ = 90.00°. The distinct sites, in fractional coordinates, are K at (0.000, 0.000, 0.000), Nb at (0.500, 0.500, 0.500) and As at (0.000, 0.000, 0.500).

ii) Compound: KNbAs3
Source: Alexandria via LeMat-Bulk
Functional: PBE
Structure: relaxed

The value obtained for the volume is 26.4 A^3/atom. For the density, the calculation gives 4.49 g/cm³. The magnetization is 0.0 μB per formula unit. As for the density of states at the Fermi level: 2.222 states/eV/cell.

It has space group Pm-3m (No. 221), with a = 5.090 Å, b = 5.090 Å, c = 5.090 Å, α = 90.00°, β = 90.00° and γ = 90.00°. The distinct sites, in fractional coordinates, are K at (0.000, 0.000, 0.000), Nb at (0.500, 0.500, 0.500) and As at (0.000, 0.500, 0.500).

Each structure's energy above the most stable one, in meV per atom: i) 2156; ii) 0.

i) Compound: KNbAs2Se
Source: Alexandria via LeMat-Bulk
Functional: PBE
Structure: relaxed

The value obtained for the volume is 27.4 A^3/atom. For the density, the calculation gives 4.37 g/cm³. The magnetization is 0.1 μB per formula unit. As for the density of states at the Fermi level: 9.996 states/eV/cell.

It has space group P4/mmm (No. 123), with a = 5.095 Å, b = 5.095 Å, c = 5.280 Å, α = 90.00°, β = 90.00° and γ = 90.00°. The distinct sites, in fractional coordinates, are K at (0.000, 0.000, 0.000), Nb at (0.500, 0.500, 0.500), As at (0.000, 0.500, 0.000) and Se at (0.000, 0.000, 0.500).

ii) Compound: KNbAs2Se
Source: Alexandria via LeMat-Bulk
Functional: PBE
Structure: relaxed

The value obtained for the volume is 26.7 A^3/atom. For the density, the calculation gives 4.48 g/cm³. The magnetization is 0.0 μB per formula unit. As for the density of states at the Fermi level: 4.150 states/eV/cell.

It has space group P4/mmm (No. 123), with a = 5.097 Å, b = 5.097 Å, c = 5.144 Å, α = 90.00°, β = 90.00° and γ = 90.00°. The distinct sites, in fractional coordinates, are K at (0.000, 0.000, 0.000), Nb at (0.500, 0.500, 0.500), As at (0.000, 0.500, 0.500) and Se at (0.500, 0.500, 0.000).

Each structure's energy above the most stable one, in meV per atom: i) 2168; ii) 0.

i) Compound: K2NiAs2
Source: Alexandria via LeMat-Bulk
Functional: PBE
Structure: relaxed

The value obtained for the volume is 28.9 A^3/atom. For the density, the calculation gives 3.29 g/cm³. The magnetization is 0.8 μB per formula unit. As for the density of states at the Fermi level: 9.697 states/eV/cell.

It has space group I4/mmm (No. 139), with a = 3.781 Å, b = 3.781 Å, c = 20.241 Å, α = 90.00°, β = 90.00° and γ = 90.00°. The distinct sites, in fractional coordinates, are K at (0.000, 0.000, 0.105), Ni at (0.000, 0.000, 0.500) and As at (0.000, 0.500, 0.250).

ii) Compound: K2NiAs2
Source: Alexandria via LeMat-Bulk
Functional: PBE
Structure: relaxed

The value obtained for the volume is 27.3 A^3/atom. For the density, the calculation gives 3.49 g/cm³. The magnetization is 0.0 μB per formula unit. As for the density of states at the Fermi level: 1.813 states/eV/cell.

It has space group Cmcm (No. 63), with a = 6.670 Å, b = 14.056 Å, c = 5.817 Å, α = 90.00°, β = 90.00° and γ = 90.00°. The distinct sites, in fractional coordinates, are K at (0.000, 0.089, 0.250), K at (0.000, 0.292, 0.750), Ni at (0.000, 0.500, 0.000) and As at (0.184, 0.399, 0.250).

Each structure's energy above the most stable one, in meV per atom: i) 761; ii) 0.